Record 1
Computed, not measured: Na8Bi2As after structural relaxation at the GGA-PBE level of DFT.

Cell lengths 9.3208, 9.3208, 7.2251 Å; angles 112.65, 112.65, 33.42 degrees
Closest atoms and distances in Å follow each position.
Positions (direct):
Na  0.0006  0.0006  0.2558  2 As 3.21, 2 Bi 3.48-3.50, 7 Na 3.49-3.57
Na  0.1895  0.1895  0.6922  8 Na 3.33-3.57, 4 Bi 3.41-3.64
Na  0.3620  0.3620  0.6175  1 As 2.91
Na  0.3640  0.3640  0.1056  1 As 2.91
Na  0.6360  0.6360  0.8944  1 As 2.91
Na  0.6380  0.6380  0.3825  1 As 2.91
Na  0.8105  0.8105  0.3078  8 Na 3.33-3.57, 4 Bi 3.41-3.64
Na  0.9994  0.9994  0.7442  2 As 3.21, 2 Bi 3.48-3.50, 7 Na 3.49-3.57
Bi  0.1811  0.1811  0.1809  12 Na 3.28-3.64
Bi  0.8189  0.8189  0.8191  12 Na 3.28-3.64
As  0.5000  0.5000  0.5000  8 Na 2.91-3.21

Output
The calculation puts the formation enthalpy at 0 K at -345.3 meV per atom. Its energy above the lowest structure with this stoichiometry is 0 meV per atom. As for the density of states at the Fermi level: 8.4 states/eV/f.u.

Record 2
Computed, not measured: NaBiAs after structural relaxation at the GGA-PBE level of DFT.

Cell lengths 4.9443, 4.9443, 4.3282 Å; angles 90.00, 90.00, 120.00 degrees
Closest atoms and distances in Å follow each position.
Positions (direct):
Na  0.0000  0.0000  0.0000  6 As 3.58-3.59, 6 Bi 3.58
Bi  0.3333  0.6667  0.5004  3 As 2.85
As  0.6667  0.3333  0.5012  3 Bi 2.85

Output
The calculation puts the formation enthalpy at 0 K at -81.0 meV per atom. Its energy above the lowest structure with this stoichiometry is 44 meV per atom. As for the density of states at the Fermi level: 0.8 states/eV/f.u.